Entry 1:
Computed, not measured: a relaxed LiTlH2Br crystal at the PBE-GGA level of DFT.

Output
- SG = Cm, No. 8
- relative energy among the computed polymorphs (eV/f.u.) = 1.922
- uncorrected energy (eV/atom) = -2.622
- magnetization (μB/f.u.) = 0.0

abc: 8.361 3.514 6.398
angles: 90.00 94.53 90.00
Fractional positions:
1 Tl 0.791 0.500 0.207
2 Tl 0.791 0.000 0.707
3 H 0.064 0.500 0.214
4 H 0.525 0.500 0.574
5 H 0.064 0.000 0.714
6 H 0.525 0.000 0.074
7 Li 0.092 0.500 0.560
8 Li 0.092 0.000 0.060
9 Br 0.383 0.500 0.421
10 Br 0.383 0.000 0.921

---

Entry 2:
Computed, not measured: a relaxed Nd5Y4Tm crystal at the PBE-GGA level of DFT.

Output
- calculated formation energy (meV/atom) = 248
- SG = I4mm, No. 107
- uncorrected energy (eV/atom) = -5.169
- magnetization (μB/f.u.) = 0.0

abc: 6.099 8.099 8.099
angles: 81.85 67.88 67.88
Fractional positions:
1 Nd 0.770 0.376 0.000
2 Nd 0.770 0.000 0.376
3 Nd 0.687 0.000 0.000
4 Nd 0.146 0.000 0.624
5 Nd 0.146 0.624 0.000
6 Tm 0.221 0.000 0.000
7 Y 0.443 0.676 0.324
8 Y 0.766 0.676 0.676
9 Y 0.443 0.324 0.676
10 Y 0.119 0.324 0.324

---

Entry 3:
Computed, not measured: a relaxed Ac6IrOs2Br3 crystal at the PBE-GGA level of DFT.

Output
- SG = C2/m, No. 12
- uncorrected energy (eV/atom) = -5.951
- formation energy from raw total energies (kJ per mole of atoms) = -83.83
- magnetization (μB/f.u.) = 0.0

abc: 7.537 7.537 8.576
angles: 98.43 98.43 120.01
Fractional positions:
1 Br 0.500 0.500 0.500
2 Br 0.831 0.169 0.500
3 Br 0.169 0.831 0.500
4 Ac 0.273 0.273 0.806
5 Ac 0.402 0.065 0.194
6 Ac 0.727 0.727 0.194
7 Ac 0.065 0.402 0.194
8 Ac 0.598 0.935 0.806
9 Ac 0.935 0.598 0.806
10 Ir 0.000 0.000 0.000
11 Os 0.666 0.334 0.000
12 Os 0.334 0.666 0.000

---

Entry 4:
Computed, not measured: a relaxed Er2ZnCr crystal at the PBE-GGA level of DFT.

Output
- calculated formation energy (meV/atom) = 528
- SG = R-3m, No. 166
- relative energy among the computed polymorphs (eV/f.u.) = 2.118
- uncorrected energy (eV/atom) = -4.478
- magnetization (μB/f.u.) = 4.3

abc: 3.304 3.304 10.607
angles: 81.04 81.04 60.00
Fractional positions:
1 Zn 0.500 0.500 0.500
2 Cr 0.000 0.000 0.000
3 Er 0.092 0.092 0.723
4 Er 0.908 0.908 0.277

---

Entry 5:
Computed, not measured: a relaxed Tm4HgPtRh2 crystal at the PBE-GGA level of DFT.

Output
- calculated formation energy (meV/atom) = -891
- SG = R-3m, No. 166
- uncorrected energy (eV/atom) = -5.757
- magnetization (μB/f.u.) = 0.0

abc: 4.890 4.890 8.562
angles: 73.41 73.41 60.00
Fractional positions:
1 Rh 0.751 0.751 0.746
2 Rh 0.249 0.249 0.254
3 Pt 0.500 0.500 0.500
4 Tm 0.620 0.620 0.141
5 Tm 0.380 0.380 0.859
6 Tm 0.129 0.129 0.614
7 Tm 0.871 0.871 0.386
8 Hg 0.000 0.000 0.000

---

Entry 6:
Computed, not measured: a relaxed LiCdPd crystal at the PBE-GGA level of DFT.

Output
- calculated formation energy (meV/atom) = -405
- SG = P3m1, No. 156
- relative energy among the computed polymorphs (eV/f.u.) = 0.000
- uncorrected energy (eV/atom) = -3.079
- magnetization (μB/f.u.) = 0.0

abc: 2.891 4.423 4.423
angles: 120.00 90.00 90.00
Fractional positions:
1 Cd 0.022 0.000 0.000
2 Pd 0.574 0.667 0.333
3 Li 0.403 0.333 0.667

---

Entry 7:
Computed, not measured: a relaxed CdNiCl2 crystal at the PBE-GGA level of DFT.

Output
- SG = F-43m, No. 216
- relative energy among the computed polymorphs (eV/f.u.) = 2.741
- uncorrected energy (eV/atom) = -2.305
- formation energy from raw total energies (kJ per mole of atoms) = 28.21
- magnetization (μB/f.u.) = 0.3

abc: 4.771 4.771 4.771
angles: 60.00 60.00 60.00
Fractional positions:
1 Cl 0.750 0.750 0.750
2 Cl 0.000 0.000 0.000
3 Cd 0.500 0.500 0.500
4 Ni 0.250 0.250 0.250

---

Entry 8:
Computed, not measured: a relaxed GeTe2AuI crystal at the PBE-GGA level of DFT.

Output
- SG = P4/mmm, No. 123
- relative energy among the computed polymorphs (eV/f.u.) = 0.513
- uncorrected energy (eV/atom) = -2.508
- formation energy from raw total energies (kJ per mole of atoms) = 61.53
- magnetization (μB/f.u.) = 0.0

abc: 5.441 5.441 5.572
angles: 90.00 90.00 90.00
Fractional positions:
1 I 0.000 0.000 0.500
2 Ge 0.000 0.000 0.000
3 Te 0.000 0.500 0.000
4 Te 0.500 0.000 0.000
5 Au 0.500 0.500 0.500

---

| no. | theoretical density (g/cm³) |
| --- | --- |
| 1 | 5.20 |
| 2 | 6.02 |
| 3 | 8.95 |
| 4 | 7.61 |
| 5 | 12.67 |
| 6 | 7.65 |
| 7 | 5.23 |
| 8 | 6.56 |